PBE AcCdCuPb, optimized geometry; electronic total energy = -3.345 eV per atom; crystal system = cubic; N(E_F) = 0.41 states/eV/atom; calculated density = 9.49 g cm⁻³; energy of formation from the pure elements = -138.3 meV/atom; V = 427.1 Å³ per cell; size of the total moment = 0.00 μB per formula unit
1.0
7.5311 0.0000 0.0000
0.0000 7.5311 0.0000
0.0000 0.0000 7.5311
Ac Cd Cu Pb
4 4 4 4
direct
0.0000 0.0000 0.0000
0.0000 0.5000 0.5000
0.5000 0.0000 0.5000
0.5000 0.5000 0.0000
0.2500 0.2500 0.2500
0.2500 0.7500 0.7500
0.7500 0.2500 0.7500
0.7500 0.7500 0.2500
0.2500 0.2500 0.7500
0.2500 0.7500 0.2500
0.7500 0.2500 0.2500
0.7500 0.7500 0.7500
0.0000 0.0000 0.5000
0.0000 0.5000 0.0000
0.5000 0.0000 0.0000
0.5000 0.5000 0.5000

=====

PBE AcCdCuPd, optimized geometry; electronic total energy = -4.004 eV per atom; crystal system = trigonal; N(E_F) = 0.51 states/eV/atom; calculated density = 8.96 g cm⁻³; energy of formation from the pure elements = -425.5 meV/atom; excess energy over the best structure of this formula in the dataset = 0.000 eV per atom; V = 283.2 Å³ per cell; size of the total moment = 0.00 μB per formula unit
1.0
4.6761 0.0000 0.0000
-2.3380 4.0496 0.0000
0.0000 0.0000 14.9562
Ac Cd Cu Pd
3 3 3 3
direct
0.0000 0.0000 0.0000
0.3333 0.6667 0.6667
0.6667 0.3333 0.3333
0.0000 0.0000 0.4974
0.3333 0.6667 0.1641
0.6667 0.3333 0.8308
0.0000 0.0000 0.7955
0.3333 0.6667 0.4622
0.6667 0.3333 0.1288
0.0000 0.0000 0.2095
0.3333 0.6667 0.8762
0.6667 0.3333 0.5428

=====

PBE AcCdCuPd2, optimized geometry; electronic total energy = -4.288 eV per atom; crystal system = orthorhombic; N(E_F) = 0.35 states/eV/atom; calculated density = 9.30 g cm⁻³; energy of formation from the pure elements = -386.4 meV/atom; V = 219.8 Å³ per cell; size of the total moment = 0.00 μB per formula unit
1.0
2.8578 -6.8968 0.0000
2.8578 6.8968 0.0000
0.0000 0.0000 5.5770
Ac Cd Cu Pd
2 2 2 4
direct
0.2500 0.7500 0.7524
0.7500 0.2500 0.2476
0.2500 0.2500 0.5000
0.7500 0.7500 0.5000
0.0000 0.0000 0.0000
0.5000 0.5000 0.0000
0.1503 0.8497 0.2576
0.3497 0.6503 0.2576
0.6503 0.3497 0.7424
0.8497 0.1503 0.7424

=====

PBE Ac2CdCu3Pd12, optimized geometry; electronic total energy = -4.642 eV per atom; crystal system = trigonal; N(E_F) = 0.65 states/eV/atom; calculated density = 8.94 g cm⁻³; energy of formation from the pure elements = 10.1 meV/atom; V = 378.0 Å³ per cell; size of the total moment = 0.00 μB per formula unit
1.0
4.1546 2.3987 6.3217
-4.1546 2.3987 6.3217
0.0000 -4.7973 6.3217
Ac Cd Cu Pd
2 1 3 12
direct
0.1121 0.1121 0.1121
0.8879 0.8879 0.8879
0.5000 0.5000 0.5000
0.0000 0.5000 0.5000
0.5000 0.0000 0.5000
0.5000 0.5000 0.0000
0.1062 0.6424 0.6424
0.1314 0.1314 0.6165
0.1314 0.6165 0.1314
0.3576 0.3576 0.8938
0.3576 0.8938 0.3576
0.3835 0.8686 0.8686
0.6165 0.1314 0.1314
0.6424 0.1062 0.6424
0.6424 0.6424 0.1062
0.8686 0.3835 0.8686
0.8686 0.8686 0.3835
0.8938 0.3576 0.3576

=====

> Among the records above, which one has the lowest N(E_F)?

AcCdCuPd2